# 1
VASP calculation (PBE) on a relaxed structure of Ac3Si4Au2.

Properties
energy relative to the elements, uncorrected	-0.7597	eV/atom
ρ	8.851	Mg/m³

Cell: 6.289 6.289 8.741 Å, 97.39 97.39 40.58°
Atoms (fractional coordinates):
Ac 0.000 0.000 0.000
Ac 0.336 0.336 0.331
Ac 0.664 0.664 0.669
Si 0.054 0.054 0.392
Si 0.277 0.277 0.946
Si 0.723 0.723 0.054
Si 0.946 0.946 0.608
Au 0.389 0.389 0.721
Au 0.611 0.611 0.279

# 2
VASP calculation (PBE) on a relaxed structure of CrAs2Pb.

Properties
ρ	7.794	Mg/m³
energy relative to the elements	0.13	eV/atom

Cell: 7.258 7.258 3.657 Å, 104.48 104.48 27.92°
Atoms (fractional coordinates):
Cr 0.000 0.000 0.000
As 0.368 0.368 0.865
As 0.547 0.547 0.546
Pb 0.733 0.733 0.231

Ordered E results: -5.2677; -5.5290; unit eV/atom.